First-principles (GGA-PBE) data for a relaxed structure of BePdF3, as listed in the Alexandria database.

Output
For the raw formation energy, the calculation gives -1710.7 meV/atom. As for the density of states at the Fermi level: 1.427 states/eV per atom. Its size of the total moment is 1.0 μB/f.u.

a b c (Å): 3.6750 3.6750 3.6750
angles (deg): 90.00 90.00 90.00
Fractional coordinates of all 5 atoms:
1 Be 0.0000 0.0000 0.0000
2 Pd 0.5000 0.5000 0.5000
3 F 0.0000 0.5000 0.0000
4 F 0.0000 0.0000 0.5000
5 F 0.5000 0.0000 0.0000

***

First-principles (GGA-PBE) data for a relaxed structure of BePdF2, as listed in the Alexandria database.

Output
For the raw formation energy, the calculation gives -1761.8 meV/atom. As for the density of states at the Fermi level: 1.036 states/eV per atom. Its size of the total moment is 0.2 μB/f.u.

a b c (Å): 5.1420 5.1420 5.1420
angles (deg): 60.00 60.00 60.00
Fractional coordinates of all 8 atoms:
1 Be 0.2500 0.2500 0.2500
2 Be 0.0000 0.0000 0.0000
3 Pd 0.7500 0.7500 0.7500
4 Pd 0.5000 0.5000 0.5000
5 F 0.1250 0.6250 0.1250
6 F 0.6250 0.1250 0.1250
7 F 0.1250 0.1250 0.1250
8 F 0.1250 0.1250 0.6250

***

First-principles (GGA-PBE) data for a relaxed structure of BePdF2, as listed in the Alexandria database.

Output
For the raw formation energy, the calculation gives -1922.6 meV/atom. As for the density of states at the Fermi level: 0.536 states/eV per atom. Its size of the total moment is 0.2 μB/f.u.

a b c (Å): 9.4825 9.4825 9.4825
angles (deg): 15.97 15.97 15.97
Fractional coordinates of all 4 atoms:
1 Be 0.5000 0.5000 0.5000
2 Pd 0.0000 0.0000 0.0000
3 F 0.8654 0.8654 0.8654
4 F 0.1346 0.1346 0.1346

***

First-principles (GGA-PBE) data for a relaxed structure of RbBe2PdF8, as listed in the Alexandria database.

Output
For the raw formation energy, the calculation gives -2453.4 meV/atom. As for the density of states at the Fermi level: 0.521 states/eV per atom. Its size of the total moment is 1.0 μB/f.u.

a b c (Å): 5.3206 5.3206 8.5478
angles (deg): 71.87 71.87 60.00
Fractional coordinates of all 12 atoms:
1 Rb 0.0000 0.0000 0.0000
2 Be 0.7573 0.7573 0.7282
3 Be 0.2427 0.2427 0.2718
4 Pd 0.5000 0.5000 0.5000
5 F 0.6950 0.6950 0.9151
6 F 0.3050 0.3050 0.0849
7 F 0.3825 0.3831 0.3369
8 F 0.6169 0.6175 0.6631
9 F 0.1025 0.6169 0.6631
10 F 0.3831 0.8975 0.3369
11 F 0.8975 0.3825 0.3369
12 F 0.6175 0.1025 0.6631

***

Question: Look up the raw formation energy of the second one.
Answer: -1761.8 meV/atom